Entry 1:
A relaxed structure of CaCr. Source: the Alexandria database, functional PBE.

abc: 12.7832 12.7832 3.0520
angles: 90.00 90.00 90.00
Positions (direct):
Cr  0.8068  0.7512  0.5000
Ca  0.3013  0.0393  0.5000
Ca  0.9607  0.3013  0.5000
Cr  0.7488  0.3068  0.0000
Cr  0.3068  0.2512  0.0000
Cr  0.1932  0.2488  0.5000
Ca  0.5393  0.1987  0.0000
Cr  0.6932  0.7488  0.0000
Cr  0.2512  0.6932  0.0000
Ca  0.8013  0.5393  0.0000
Ca  0.6987  0.9607  0.5000
Ca  0.4607  0.8013  0.0000
Cr  0.7512  0.1932  0.5000
Cr  0.2488  0.8068  0.5000
Ca  0.1987  0.4607  0.0000
Ca  0.0393  0.6987  0.5000

The energy above the most stable polymorph in this dataset comes out at 1.31 eV/f.u. As for the spin magnetization: 0.000 μB/atom. As for the space group: I4/m (87).


Entry 2:
A relaxed structure of Ca2Cr. Source: the Alexandria database, functional PBE.

abc: 5.3395 7.0246 10.1137
angles: 90.00 90.00 90.00
Positions (direct):
Ca  0.2500  0.6681  0.0661
Ca  0.7500  0.9558  0.2044
Cr  0.7500  0.7995  0.8916
Ca  0.7500  0.8319  0.5661
Ca  0.2500  0.0442  0.7956
Ca  0.7500  0.3319  0.9339
Cr  0.7500  0.2995  0.6084
Cr  0.2500  0.2005  0.1084
Ca  0.2500  0.1681  0.4339
Ca  0.7500  0.4558  0.2956
Ca  0.2500  0.5442  0.7044
Cr  0.2500  0.7005  0.3916

As for the spin magnetization: 1.539 μB/atom. As for the space group: Pnma (62).


Entry 3:
A relaxed structure of CaCr. Source: the Alexandria database, functional PBE.

abc: 6.3553 6.3553 5.3036
angles: 90.00 90.00 150.23
Positions (direct):
Cr  0.1661  0.8339  0.2500
Ca  0.5879  0.4121  0.7500
Ca  0.4121  0.5879  0.2500
Cr  0.8339  0.1661  0.7500

The energy above the most stable polymorph in this dataset comes out at 0.89 eV/f.u. As for the spin magnetization: 2.212 μB/atom. As for the space group: Cmcm (63).


For the records above, the corresponding DFT formation energy values read 1054 470 846 meV/atom.